First-principles (GGA-PBE) data for an optimized crystal structure of K2InW, as listed in Alexandria.

Cell: 4.7671 4.7671 5.9709 Å, 90.00 90.00 90.00°
Space group P4/mmm (No. 123)
Symmetry-distinct sites (fractional):
K (0.0000, 0.0000, 0.2481) [2 per cell]
In (0.5000, 0.5000, 0.5000) [1 per cell]
W (0.5000, 0.5000, 0.0000) [1 per cell]

Calculated formation energy   5.56 eV per formula unit
Fermi-level density of states   3.63 states/eV/cell
Total DFT energy (no corrections)   -12.33 eV/cell

***

First-principles (GGA-PBE) data for an optimized crystal structure of Li2Cu4Pd5, as listed in Alexandria.

Cell: 9.1313 5.3775 7.9029 Å, 90.00 124.02 90.00°
Space group C2/m (No. 12)
Symmetry-distinct sites (fractional):
Li (0.2489, 0.0000, 0.1697) [4 per cell]
Cu (0.2222, 0.5000, 0.1443) [4 per cell]
Cu (0.2233, 0.5000, 0.4964) [4 per cell]
Pd (0.0000, 0.0000, 0.5000) [2 per cell]
Pd (0.0019, 0.2449, 0.8171) [8 per cell]

Calculated formation energy   -1.12 eV per formula unit
Fermi-level density of states   10.58 states/eV/cell
Energy above the most stable polymorph in this dataset   0.82 eV per formula unit
Total DFT energy (no corrections)   -94.59 eV/cell

***

First-principles (GGA-PBE) data for an optimized crystal structure of RbHgI, as listed in Alexandria.

Cell: 5.1815 5.2034 11.5212 Å, 102.57 102.70 90.27°
Space group P-1 (No. 2)
Symmetry-distinct sites (fractional):
Rb (0.1668, 0.1680, 0.3311) [2 per cell]
Hg (0.2648, 0.7362, 0.0001) [2 per cell]
I (0.3339, 0.3324, 0.6701) [2 per cell]

Fermi-level density of states   0.00 states/eV/cell
Energy above the most stable polymorph in this dataset   0.01 eV per formula unit
Total DFT energy (no corrections)   -11.28 eV/cell

***

First-principles (GGA-PBE) data for an optimized crystal structure of YHoTmIn, as listed in Alexandria.

Cell: 7.6705 7.6705 7.6705 Å, 90.00 90.00 90.00°
Space group F-43m (No. 216)
Symmetry-distinct sites (fractional):
Y (0.0000, 0.0000, 0.0000) [4 per cell]
Ho (0.0000, 0.0000, 0.5000) [4 per cell]
Tm (0.2500, 0.2500, 0.7500) [4 per cell]
In (0.2500, 0.2500, 0.2500) [4 per cell]

Calculated formation energy   -0.56 eV per formula unit
Fermi-level density of states   25.86 states/eV/cell
Energy above the most stable polymorph in this dataset   0.50 eV per formula unit
Total DFT energy (no corrections)   -75.23 eV/cell

***

> Which of these has the lowest Fermi-level density of states?

RbHgI

***

> Which formula does entry 3 have?

RbHgI

***

Copy entry 4 word for word.
First-principles (GGA-PBE) data for an optimized crystal structure of YHoTmIn, as listed in Alexandria.

Cell: 7.6705 7.6705 7.6705 Å, 90.00 90.00 90.00°
Space group F-43m (No. 216)
Symmetry-distinct sites (fractional):
Y (0.0000, 0.0000, 0.0000) [4 per cell]
Ho (0.0000, 0.0000, 0.5000) [4 per cell]
Tm (0.2500, 0.2500, 0.7500) [4 per cell]
In (0.2500, 0.2500, 0.2500) [4 per cell]

Calculated formation energy   -0.56 eV per formula unit
Fermi-level density of states   25.86 states/eV/cell
Energy above the most stable polymorph in this dataset   0.50 eV per formula unit
Total DFT energy (no corrections)   -75.23 eV/cell

***

> Look up the total DFT energy (no corrections) of the fourth one.

-75.23 eV/cell